GGA-PBEsol BeCo2Pb, relaxed; spin magnetization = 2.03 μB/f.u.; DFT formation energy = 0.45 eV/atom
1.0
2.924 0.000 -0.034
0.000 3.891 0.000
-1.391 0.000 4.761
Pb Be Co
1 1 2
Cartesian
0.591 0.000 2.464
-0.855 1.946 3.882
-0.846 0.000 4.716
2.019 1.946 0.789



GGA-PBEsol SnP, relaxed; spin magnetization = 0.00 μB/f.u.; DFT formation energy = 0.02 eV/atom
1.0
-1.327 0.802 -3.793
-2.692 -0.769 2.992
-0.242 6.593 1.478
P Sn
2 2
Cartesian
-0.039 1.062 0.238
-0.203 5.531 1.240
-1.863 2.508 -1.031
-2.397 4.117 1.709



GGA-PBEsol CdBr, relaxed; spin magnetization = 0.00 μB/f.u.; formation energy (no corrections) = -0.26 eV/atom
1.0
4.271 0.000 0.000
2.135 3.698 0.000
2.135 1.233 3.487
Br Cd
1 1
Cartesian
0.000 0.000 0.000
4.271 2.466 1.744



GGA-PBEsol CdFe3Tc, relaxed; spin magnetization = 4.52 μB/f.u.; DFT formation energy = 1.38 eV/atom
1.0
4.371 0.000 0.000
0.000 4.371 0.000
0.000 0.000 4.371
Fe Tc Cd
3 1 1
Cartesian
0.000 2.186 0.000
0.000 0.000 2.186
2.186 0.000 0.000
0.000 0.000 0.000
2.186 2.186 2.186



GGA-PBEsol AlAgP2, relaxed; spin magnetization = 0.00 μB/f.u.; DFT formation energy = 0.16 eV/atom
1.0
2.692 0.020 0.020
0.950 4.955 0.034
0.950 0.021 4.955
P Al Ag
2 1 1
Cartesian
0.475 0.011 2.477
0.475 2.477 0.017
0.950 2.488 2.495
0.000 0.000 0.000



GGA-PBEsol YMo2Pt, relaxed; spin magnetization = 0.00 μB/f.u.; DFT formation energy = 0.10 eV/atom
1.0
-0.720 -2.149 1.619
4.242 1.781 1.856
-3.249 3.164 2.756
Mo Pt Y
2 1 1
Cartesian
-0.083 0.151 0.164
1.022 0.010 2.865
2.119 2.305 4.003
-0.528 2.618 3.242



GGA-PBEsol K2AsPt, relaxed; spin magnetization = 0.00 μB/f.u.; DFT formation energy = -0.28 eV/atom
1.0
-3.581 0.091 2.857
-1.114 -8.621 2.553
3.636 1.346 8.188
As K Pt
2 4 2
Cartesian
-1.790 0.046 1.428
0.366 -3.615 6.085
-2.503 -1.739 5.185
0.548 -5.422 9.127
-0.685 -1.066 9.279
-3.060 -6.049 6.461
0.000 0.000 0.000
-1.425 -3.569 7.513



GGA-PBEsol Tm2GeO5, relaxed; spin magnetization = 0.00 μB/f.u.; formation energy (no corrections) = -3.02 eV/atom
1.0
-1.583 -5.834 2.728
6.552 -1.115 1.417
-0.747 5.163 7.513
Tm Ge O
8 4 20
Cartesian
4.618 2.426 9.264
2.111 -0.199 10.257
4.289 -0.647 7.547
3.694 2.506 5.883
0.528 -4.292 5.775
-0.067 -1.139 4.112
2.112 -1.587 1.402
-0.395 -4.212 2.394
1.250 0.140 7.236
0.128 3.383 5.458
4.095 -5.169 6.200
2.973 -1.926 4.423
0.245 4.269 7.012
3.253 3.424 7.842
0.804 1.122 8.668
4.171 0.216 9.575
5.197 1.363 7.339
1.616 2.643 4.973
2.051 -1.153 8.194
2.753 0.650 6.513
-0.068 -0.122 6.144
4.258 -2.658 8.373
-0.036 0.871 3.285
4.290 -1.664 5.514
1.470 -2.436 5.146
2.172 -0.633 3.465
2.606 -4.429 6.685
-0.975 -3.149 4.319
0.051 -2.002 2.083
3.418 -2.908 2.990
0.969 -5.210 3.817
3.977 -6.055 4.646